A plane-wave DFT calculation with PBE-GGA was carried out for a relaxed structure of BeCo2Ir.

It has space group Immm (No. 71), with a = 2.753 Å, b = 3.931 Å, c = 8.138 Å, α = 90.00°, β = 90.00° and γ = 90.00°. The asymmetric unit holds Be at (0.000, 0.000, 0.000), Co at (0.000, 0.500, 0.269) and Ir at (0.000, 0.000, 0.500).

The formation energy is -0.17 eV/atom. Its calculated total energy is -6.8703 eV/atom. The calculation puts the density of states at the Fermi level at 0.996 states/eV/atom.